# CoTcP2 PBE relaxed
data_CoTcP2
_space_group_name_H-M_alt 'P 1'
_space_group_IT_number 1
_cell_length_a 4.324
_cell_length_b 2.927
_cell_length_c 3.935
_cell_angle_alpha 89.99
_cell_angle_beta 90.00
_cell_angle_gamma 90.00
loop_
_space_group_symop_operation_xyz
'x,y,z'
loop_
_atom_site_label
_atom_site_type_symbol
_atom_site_fract_x
_atom_site_fract_y
_atom_site_fract_z
_atom_site_occupancy
Co1 Co 0.500 0.875 0.773 1
P1 P 0.000 0.875 0.994 1
P2 P 0.500 0.375 0.236 1
Tc1 Tc 0.000 0.375 0.497 1
# **E_tot**: -29.6 eV for the cell shown
# **N(E_F)**: 3.2 states/eV/f.u.
# **ΔE to the lowest computed polymorph**: 77 meV/atom
# **Total magnetization**: 0.0 μB/f.u.
# **Space-group type**: Pmm2
# **Energy of formation**: -0.321 eV/atom